Entry from the Alexandria database: ReAs2Ru after structural relaxation (PBE).

Cell: 2.916 2.916 30.286 Å, 90.00 90.00 120.00°
Fractional coordinates of all 12 atoms:
1 Re 0.000 0.000 0.000
2 Re 0.333 0.667 0.667
3 Re 0.667 0.333 0.333
4 As 0.000 0.000 0.269
5 As 0.000 0.000 0.467
6 As 0.333 0.667 0.134
7 As 0.333 0.667 0.936
8 As 0.667 0.333 0.602
9 As 0.667 0.333 0.801
10 Ru 0.000 0.000 0.740
11 Ru 0.333 0.667 0.407
12 Ru 0.667 0.333 0.073

## Properties
formation energy from the elements: 0.09 eV/atom
spin magnetization: 0.00 μB per atom
crystal system: trigonal
VASP energy: -30.68 eV/f.u.
symmetry: R3m, No. 160


Entry from the Alexandria database: CaPa2IrO8 after structural relaxation (PBE).

Cell: 5.471 5.471 6.364 Å, 90.00 90.00 120.00°
Fractional coordinates of all 12 atoms:
1 Ca 0.000 0.000 0.000
2 Pa 0.333 0.667 0.378
3 Pa 0.667 0.333 0.622
4 Ir 0.000 0.000 0.500
5 O 0.175 0.350 0.670
6 O 0.175 0.825 0.670
7 O 0.333 0.667 0.083
8 O 0.350 0.175 0.330
9 O 0.650 0.825 0.670
10 O 0.667 0.333 0.917
11 O 0.825 0.175 0.330
12 O 0.825 0.650 0.330

## Properties
spin magnetization: 0.08 μB per atom
crystal system: trigonal
E_form (uncorrected): -2.373 eV/atom
VASP energy: -97.99 eV/f.u.
symmetry: P-3m1, No. 164


Entry from the Alexandria database: In2Sb after structural relaxation (PBE).

Cell: 16.663 16.663 16.663 Å, 164.38 164.38 22.16°
Fractional coordinates of all 12 atoms:
1 In 0.123 0.373 0.750
2 In 0.287 0.537 0.750
3 In 0.373 0.123 0.250
4 In 0.463 0.713 0.750
5 In 0.537 0.287 0.250
6 In 0.627 0.877 0.750
7 In 0.713 0.463 0.250
8 In 0.877 0.627 0.250
9 Sb 0.050 0.800 0.250
10 Sb 0.200 0.950 0.250
11 Sb 0.800 0.050 0.750
12 Sb 0.950 0.200 0.750

## Properties
spin magnetization: 0.00 μB per atom
crystal system: tetragonal
E_form (uncorrected): 0.063 eV/atom
VASP energy: -9.41 eV/f.u.
symmetry: I4_1/amd, No. 141


Entry from the Alexandria database: SbH2Br4 after structural relaxation (PBE).

Cell: 4.973 6.084 7.378 Å, 86.15 88.05 83.82°
Fractional coordinates of all 7 atoms:
1 Sb 0.000 0.000 0.000
2 H 0.187 0.517 0.761
3 H 0.813 0.483 0.239
4 Br 0.019 0.736 0.686
5 Br 0.398 0.244 0.835
6 Br 0.602 0.756 0.165
7 Br 0.981 0.264 0.314

## Properties
spin magnetization: 0.00 μB per atom
crystal system: triclinic
VASP energy: -19.16 eV/f.u.
symmetry: P-1, No. 2


Entry from the Alexandria database: ScNi after structural relaxation (PBE).

Cell: 7.990 7.990 3.962 Å, 90.00 90.00 120.00°
Fractional coordinates of all 12 atoms:
1 Sc 0.196 0.391 0.250
2 Sc 0.196 0.804 0.250
3 Sc 0.391 0.196 0.750
4 Sc 0.609 0.804 0.250
5 Sc 0.804 0.196 0.750
6 Sc 0.804 0.609 0.750
7 Ni 0.121 0.561 0.750
8 Ni 0.439 0.561 0.750
9 Ni 0.439 0.879 0.750
10 Ni 0.561 0.121 0.250
11 Ni 0.561 0.439 0.250
12 Ni 0.879 0.439 0.250

## Properties
formation energy from the elements: -0.34 eV/atom
spin magnetization: 0.00 μB per atom
crystal system: hexagonal
VASP energy: -12.80 eV/f.u.
symmetry: P6_3/mmc, No. 194


Entry from the Alexandria database: PmBeBIr2 after structural relaxation (PBE).

Cell: 5.801 5.801 7.111 Å, 90.00 90.00 139.79°
Fractional coordinates of all 10 atoms:
1 Pm 0.052 0.948 0.750
2 Pm 0.948 0.052 0.250
3 Be 0.228 0.772 0.250
4 Be 0.772 0.228 0.750
5 B 0.500 0.500 0.000
6 B 0.500 0.500 0.500
7 Ir 0.326 0.674 0.559
8 Ir 0.326 0.674 0.941
9 Ir 0.674 0.326 0.059
10 Ir 0.674 0.326 0.441

## Properties
formation energy from the elements: -0.58 eV/atom
spin magnetization: 0.00 μB per atom
crystal system: orthorhombic
VASP energy: -35.78 eV/f.u.
symmetry: Cmcm, No. 63


Entry from the Alexandria database: Dy2TePb after structural relaxation (PBE).

Cell: 6.229 6.229 12.484 Å, 90.00 90.00 90.00°
Fractional coordinates of all 16 atoms:
1 Dy 0.000 0.250 0.123
2 Dy 0.000 0.250 0.627
3 Dy 0.000 0.750 0.373
4 Dy 0.000 0.750 0.877
5 Dy 0.500 0.250 0.377
6 Dy 0.500 0.250 0.873
7 Dy 0.500 0.750 0.127
8 Dy 0.500 0.750 0.623
9 Te 0.000 0.250 0.375
10 Te 0.000 0.750 0.625
11 Te 0.500 0.250 0.125
12 Te 0.500 0.750 0.875
13 Pb 0.000 0.250 0.875
14 Pb 0.000 0.750 0.125
15 Pb 0.500 0.250 0.625
16 Pb 0.500 0.750 0.375

## Properties
spin magnetization: 0.00 μB per atom
crystal system: tetragonal
E_form (uncorrected): -0.953 eV/atom
VASP energy: -19.87 eV/f.u.
symmetry: I4_1/amd, No. 141


Entry from the Alexandria database: ErTlHg after structural relaxation (PBE).

Cell: 4.760 6.422 6.442 Å, 118.92 91.08 111.53°
Fractional coordinates of all 6 atoms:
1 Er 0.175 0.358 0.239
2 Er 0.825 0.642 0.761
3 Tl 0.494 0.998 0.244
4 Tl 0.506 0.002 0.756
5 Hg 0.158 0.307 0.719
6 Hg 0.842 0.693 0.281

## Properties
formation energy from the elements: -0.27 eV/atom
spin magnetization: 0.00 μB per atom
crystal system: triclinic
VASP energy: -8.04 eV/f.u.
symmetry: P-1, No. 2


Entry from the Alexandria database: NdZn2CuNi2 after structural relaxation (PBE).

Cell: 4.471 4.471 5.302 Å, 90.00 90.00 90.00°
Fractional coordinates of all 6 atoms:
1 Nd 0.000 0.000 0.000
2 Zn 0.500 0.500 0.254
3 Zn 0.500 0.500 0.746
4 Cu 0.000 0.000 0.500
5 Ni 0.000 0.500 0.500
6 Ni 0.500 0.000 0.500

## Properties
formation energy from the elements: 0.02 eV/atom
spin magnetization: 0.00 μB per atom
crystal system: tetragonal
VASP energy: -22.88 eV/f.u.
symmetry: P4/mmm, No. 123


Entry from the Alexandria database: K5RhO4F2 after structural relaxation (PBE).

Cell: 7.669 5.978 5.978 Å, 115.26 90.00 90.00°
Fractional coordinates of all 12 atoms:
1 K 0.000 0.000 0.000
2 K 0.260 0.309 0.685
3 K 0.260 0.685 0.309
4 K 0.740 0.309 0.685
5 K 0.740 0.685 0.309
6 Rh 0.500 0.009 0.009
7 O 0.305 0.185 0.185
8 O 0.500 0.682 0.974
9 O 0.500 0.974 0.682
10 O 0.695 0.185 0.185
11 F 0.000 0.553 0.968
12 F 0.000 0.968 0.553

## Properties
spin magnetization: 0.00 μB per atom
crystal system: orthorhombic
E_form (uncorrected): -1.624 eV/atom
VASP energy: -55.90 eV/f.u.
symmetry: Amm2, No. 38


Entry from the Alexandria database: SiGeAuS after structural relaxation (PBE).

Cell: 5.608 3.238 9.140 Å, 90.00 101.86 90.00°
Fractional coordinates of all 8 atoms:
1 Si 0.000 0.000 0.000
2 Si 0.500 0.500 0.000
3 Ge 0.182 0.000 0.560
4 Ge 0.682 0.500 0.560
5 Au 0.093 0.500 0.788
6 Au 0.593 0.000 0.788
7 S 0.384 0.000 0.151
8 S 0.884 0.500 0.151

## Properties
spin magnetization: 0.00 μB per atom
crystal system: monoclinic
E_form (uncorrected): -0.038 eV/atom
VASP energy: -17.60 eV/f.u.
symmetry: Cm, No. 8


Entry from the Alexandria database: ZrFeRu2 after structural relaxation (PBE).

Cell: 3.243 4.237 4.488 Å, 90.00 90.00 90.00°
Fractional coordinates of all 4 atoms:
1 Zr 0.000 0.000 0.000
2 Fe 0.500 0.000 0.500
3 Ru 0.000 0.500 0.500
4 Ru 0.500 0.500 0.000

## Properties
formation energy from the elements: -0.03 eV/atom
spin magnetization: 0.89 μB per atom
crystal system: orthorhombic
VASP energy: -35.66 eV/f.u.
symmetry: Pmmm, No. 47